A relaxed structure of Pu4As3S. Source: Alexandria, functional PBE.

Formation energy without anion corrections in eV/f.u.: -9.51
N(E_F) in states/eV per atom: 4.80
Size of the total moment in μB per formula unit: 0.522
Space group: No. 166
Volume in Å³/atom: 24.31
Energy above the most stable polymorph in this dataset in eV/atom: 0.000

Lattice parameters (Å, degrees): 13.583 13.583 13.583 17.35 17.35 17.35
Element x y z (fractional)
Pu: 0.125 0.125 0.125
Pu: 0.372 0.372 0.372
Pu: 0.628 0.628 0.628
Pu: 0.875 0.875 0.875
As: 0.252 0.252 0.252
As: 0.500 0.500 0.500
As: 0.748 0.748 0.748
S: 0.000 0.000 0.000

=====

A relaxed structure of Pu8As5S3. Source: Alexandria, functional PBE.

Formation energy without anion corrections in eV/f.u.: -20.91
N(E_F) in states/eV per atom: 4.71
Size of the total moment in μB per formula unit: 42.619
Space group: No. 166
Volume in Å³/atom: 24.19

Lattice parameters (Å, degrees): 8.166 8.166 8.166 60.22 60.22 60.22
Element x y z (fractional)
Pu: 0.244 0.750 0.750
Pu: 0.247 0.247 0.247
Pu: 0.250 0.250 0.756
Pu: 0.250 0.756 0.250
Pu: 0.750 0.244 0.750
Pu: 0.750 0.750 0.244
Pu: 0.753 0.753 0.753
Pu: 0.756 0.250 0.250
As: 0.000 0.000 0.000
As: 0.000 0.500 0.500
As: 0.500 0.000 0.500
As: 0.500 0.500 0.000
As: 0.500 0.500 0.500
S: 0.000 0.000 0.500
S: 0.000 0.500 0.000
S: 0.500 0.000 0.000

=====

A relaxed structure of Pu6AsS5. Source: Alexandria, functional PBE.

Formation energy without anion corrections in eV/f.u.: -19.68
N(E_F) in states/eV per atom: 4.20
Size of the total moment in μB per formula unit: 33.510
Space group: No. 12
Volume in Å³/atom: 22.66

Lattice parameters (Å, degrees): 6.933 6.933 6.932 99.60 99.60 120.02
Element x y z (fractional)
Pu: 0.075 0.415 0.746
Pu: 0.244 0.244 0.253
Pu: 0.415 0.075 0.746
Pu: 0.585 0.925 0.254
Pu: 0.756 0.756 0.747
Pu: 0.925 0.585 0.254
As: 0.500 0.500 0.000
S: 0.000 0.000 0.500
S: 0.167 0.833 0.000
S: 0.336 0.664 0.500
S: 0.664 0.336 0.500
S: 0.833 0.167 0.000

=====

A relaxed structure of Pu3AsS3. Source: Alexandria, functional PBE.

Formation energy without anion corrections in eV/f.u.: -9.52
N(E_F) in states/eV per atom: 3.52
Size of the total moment in μB per formula unit: 15.001
Space group: No. 221
Volume in Å³/atom: 25.37

Lattice parameters (Å, degrees): 5.621 5.621 5.621 90.00 90.00 90.00
Element x y z (fractional)
Pu: 0.000 0.000 0.500
Pu: 0.000 0.500 0.000
Pu: 0.500 0.000 0.000
As: 0.000 0.000 0.000
S: 0.000 0.500 0.500
S: 0.500 0.000 0.500
S: 0.500 0.500 0.000

=====

Question: Which value of N(E_F) does entry 2 give?
Answer: 4.71 states/eV per atom

=====

Question: Which value of formation energy without anion corrections does entry 2 give?
Answer: -20.91 eV/f.u.

=====

Question: volume of number 1 (Pu4As3S)?
Answer: 24.31 Å³/atom